Entry 1:
## Ho4Bi6O19 (PBE-GGA)

Data for crystalline Ho4Bi6O19 at its relaxed geometry.

a b c (Å): 9.6601 9.6601 9.6601
angles (deg): 90.00 90.00 90.00
With the nearest neighbours (Å) after each atom.
Space group I23 (No. 197)
Inequivalent atoms, fractional coordinates:
Ho  0.1422  0.1422  0.8578 [8 per cell]  4 O 2.20-2.38
Bi  0.0000  0.3232  0.5000 [12 per cell]  6 O 2.22
O  0.0000  0.0000  0.0000 [2 per cell]  4 Ho 2.38
O  0.0000  0.0000  0.3535 [12 per cell]  2 Bi 2.22
O  0.0433  0.2969  0.7237 [24 per cell]  1 Ho 2.20, 2 Bi 2.22

Calculated values
* total energy: -368.5 eV for the cell shown
* V: 15.5 A^3/atom
* formation energy without anion corrections: -1.67 eV per atom

***

Entry 2:
## Ho4Bi3O (PBE-GGA)

Data for crystalline Ho4Bi3O at its relaxed geometry.

a b c (Å): 12.1143 6.2639 6.2613
angles (deg): 90.00 90.00 90.00
With the nearest neighbours (Å) after each atom.
Space group Pmn2_1 (No. 31)
Inequivalent atoms, fractional coordinates:
Ho  0.0000  0.1459  0.0000 [2 per cell]  1 O 2.09
Ho  0.0000  0.7486  0.6039 [2 per cell]  1 O 2.09
Ho  0.2468  0.7645  0.9937 [4 per cell]  1 O 3.04, 5 Bi 3.07-3.14
Bi  0.0000  0.2475  0.5002 [2 per cell]  6 Ho 3.07-3.21
Bi  0.2495  0.2640  0.9931 [4 per cell]  6 Ho 3.11-3.14
O  0.0000  0.8197  0.9300 [2 per cell]  2 Ho 2.09

Calculated values
* total energy: -88.7 eV for the cell shown
* V: 29.7 A^3/atom
* formation energy without anion corrections: -1.18 eV per atom

***

Entry 3:
## HoBiO (PBE-GGA)

Data for crystalline HoBiO at its relaxed geometry.

a b c (Å): 3.8339 3.8344 9.4062
angles (deg): 88.56 88.44 89.87
With the nearest neighbours (Å) after each atom.
Space group P-1 (No. 2)
Inequivalent atoms, fractional coordinates:
Ho  0.2432  0.2438  0.1181 [2 per cell]  4 O 2.21-2.22
Bi  0.2801  0.2780  0.6252 [2 per cell]  3 Bi 3.30-3.62, 4 Ho 3.61-3.66
O  0.2495  0.7505  0.0000 [2 per cell]  4 Ho 2.21-2.22

Calculated values
* excess energy over the best structure of this formula in the dataset: 0.0 meV per atom
* total energy: -39.6 eV for the cell shown
* V: 23.0 A^3/atom
* formation energy without anion corrections: -2.12 eV per atom

***

formation energy without anion corrections of number 3 (HoBiO)? -2.12 eV per atom